La4FeAs4Ru3O4 | SCAN | single point on PBEsol structure

Lattice parameters (Å, degrees): 5.7320 5.7320 8.4797 90.00 90.00 90.00
With the nearest neighbours (Å) after each atom.
Fractional coordinates of all 16 atoms:
La 0.2498 0.7502 0.8579  4 O 2.36
La 0.7502 0.2498 0.8579  4 O 2.36
La 0.2498 0.2498 0.1421  4 O 2.36
La 0.7502 0.7502 0.1421  4 O 2.36
Fe 0.5000 0.5000 0.5000  4 As 2.35
As 0.2562 0.7438 0.3490  1 Fe 2.35, 3 Ru 2.40-2.44
As 0.7438 0.2562 0.3490  1 Fe 2.35, 3 Ru 2.40-2.44
As 0.2562 0.2562 0.6510  1 Fe 2.35, 3 Ru 2.40-2.44
As 0.7438 0.7438 0.6510  1 Fe 2.35, 3 Ru 2.40-2.44
Ru 0.0000 0.0000 0.5000  4 As 2.44
Ru 0.5000 0.0000 0.5000  4 As 2.40
Ru 0.0000 0.5000 0.5000  4 As 2.40
O 0.5000 0.5000 0.0000  4 La 2.36
O 0.0000 0.0000 0.0000  4 La 2.36
O 0.0000 0.5000 0.0000  4 La 2.36
O 0.5000 0.0000 0.0000  4 La 2.36

Calculated values
Total magnetic moment ... 0.78 μB per cell
E above lowest polymorph ... 0 meV per atom
Uncorrected formation energy ... -2.092 eV/atom